(1)
This record from Alexandria describes PmGdPb2 after structural relaxation. The functional is PBE.

Output
- Total magnetic moment: 7.95 μB per formula unit
- V: 116.8 Å³/f.u.
- Energy relative to the elements: -0.5060 eV per atom

Lattice parameters (Å, degrees): 4.537 5.073 5.073 90.00 90.00 90.00
Atoms (fractional coordinates):
Pm  0.500  0.500  0.500
Pb  0.000  0.500  0.000
Gd  0.500  0.000  0.000
Pb  0.000  0.000  0.500

---

(2)
This record from Alexandria describes PmPrGdPb after structural relaxation. The functional is PBE.

Output
- Total magnetic moment: 8.15 μB per formula unit
- V: 124.5 Å³/f.u.
- Energy relative to the elements: -0.1870 eV per atom

Lattice parameters (Å, degrees): 5.604 5.604 5.604 60.00 60.00 60.00
Atoms (fractional coordinates):
Gd  0.250  0.250  0.250
Pb  0.750  0.750  0.750
Pm  0.500  0.500  0.500
Pr  0.000  0.000  0.000

---

(3)
This record from Alexandria describes PmGdSbPb after structural relaxation. The functional is PBE.

Output
- Total magnetic moment: 7.39 μB per formula unit
- V: 117.0 Å³/f.u.
- Raw formation energy: -611 meV/atom

Lattice parameters (Å, degrees): 5.490 5.490 5.490 60.00 60.00 60.00
Atoms (fractional coordinates):
Sb  0.000  0.000  0.000
Pb  0.500  0.500  0.500
Pm  0.250  0.250  0.250
Gd  0.750  0.750  0.750

---

- Which formula does entry 3 have?
  PmGdSbPb